No. 1
The following is a DFT calculation (GGA-PBE) of crystalline Rb2C3 at its relaxed geometry.

Computed properties:
As for the calculated volume: 33.57 Å³/atom. Its space-group type is P-3m1. As for the crystal system: trigonal. Its formation energy is 3.28 eV per atom. The excess energy over the best structure of this formula in the dataset is 2597 meV per atom.

abc: 5.4418 5.4418 6.5448
angles: 90.00 90.00 120.00
Last column: magnetic moment on the atom in μB.
Positions (direct):
C 0.0000 0.0000 0.0000  1.12
C 0.3333 0.6667 0.2845  1.16
C 0.6667 0.3333 0.7155  1.16
Rb 0.6667 0.3333 0.2231  0.07
Rb 0.3333 0.6667 0.7769  0.07

No. 2
The following is a DFT calculation (GGA-PBE) of crystalline Rb2C at its relaxed geometry.

Computed properties:
As for the calculated volume: 47.77 Å³/atom. Its space-group type is Cmc2_1. As for the crystal system: orthorhombic. Its formation energy is 1.43 eV per atom. The excess energy over the best structure of this formula in the dataset is 7 meV per atom.

abc: 4.6870 4.6870 15.0740
angles: 90.00 90.00 120.06
Last column: magnetic moment on the atom in μB.
Positions (direct):
C 0.8397 0.1603 0.8891  0.98
C 0.1603 0.8397 0.3891  0.98
Rb 0.5064 0.4936 0.7862  0.03
Rb 0.1729 0.8271 0.9925  0.03
Rb 0.4936 0.5064 0.2862  0.03
Rb 0.8271 0.1729 0.4925  0.03

No. 3
The following is a DFT calculation (GGA-PBE) of crystalline RbC3 at its relaxed geometry.

Computed properties:
As for the calculated volume: 16.30 Å³/atom. Its space-group type is Pmmm. As for the crystal system: orthorhombic. Its formation energy is 1.81 eV per atom. The excess energy over the best structure of this formula in the dataset is 1071 meV per atom.

abc: 3.0812 4.0525 5.2211
angles: 89.98 90.00 90.00
Positions (direct):
Rb 0.5000 0.2500 0.2500
C 0.5000 0.7500 0.7500
C 0.0000 0.7504 0.8838
C 0.0000 0.7496 0.6162

No. 4
The following is a DFT calculation (GGA-PBE) of crystalline Rb3C4 at its relaxed geometry.

Computed properties:
As for the calculated volume: 58.03 Å³/atom. Its space-group type is P-43m. As for the crystal system: cubic. Its formation energy is 3.11 eV per atom. The excess energy over the best structure of this formula in the dataset is 1262 meV per atom.

abc: 7.4059 7.4059 7.4059
angles: 90.00 90.00 90.00
Last column: magnetic moment on the atom in μB.
Positions (direct):
Rb 0.5000 0.5000 0.0000  0.07
Rb 0.5000 0.0000 0.5000  0.07
Rb 0.0000 0.5000 0.5000  0.07
C 0.7118 0.7118 0.7118  1.16
C 0.7118 0.2882 0.2882  1.16
C 0.2882 0.2882 0.7118  1.16
C 0.2882 0.7118 0.2882  1.16

No. 5
The following is a DFT calculation (GGA-PBE) of crystalline Rb2C at its relaxed geometry.

Computed properties:
As for the calculated volume: 43.41 Å³/atom. Its space-group type is I4_1/amd. As for the crystal system: tetragonal. Its formation energy is 1.52 eV per atom. The excess energy over the best structure of this formula in the dataset is 96 meV per atom.

abc: 16.6171 16.6171 16.6171
angles: 166.22 166.22 19.54
Last column: magnetic moment on the atom in μB.
Positions (direct):
Rb 0.3018 0.8018 0.5000  0.03
Rb 0.4482 0.4482 0.0000  0.03
Rb 0.5518 0.5518 0.0000  0.03
Rb 0.1982 0.6982 0.5000  0.03
C 0.7500 0.2500 0.5000  0.99
C 0.0000 0.0000 0.0000  0.99

No. 6
The following is a DFT calculation (GGA-PBE) of crystalline Rb2C at its relaxed geometry.

Computed properties:
As for the calculated volume: 37.68 Å³/atom. Its space-group type is P4/nmm. As for the crystal system: tetragonal. Its formation energy is 1.48 eV per atom. The excess energy over the best structure of this formula in the dataset is 54 meV per atom.

abc: 5.3786 5.3786 7.8140
angles: 90.00 90.00 90.00
Last column: magnetic moment on the atom in μB.
Positions (direct):
C 0.5000 0.0000 0.7809  0.89
C 0.0000 0.5000 0.2191  0.89
Rb 0.5000 0.0000 0.3980  0.01
Rb 0.0000 0.0000 0.0000  0.03
Rb 0.0000 0.5000 0.6020  0.01
Rb 0.5000 0.5000 0.0000  0.03

No. 7
The following is a DFT calculation (GGA-PBE) of crystalline RbC8 at its relaxed geometry.

Computed properties:
As for the calculated volume: 13.63 Å³/atom. Its space-group type is Fddd. As for the crystal system: orthorhombic. Its formation energy is -0.04 eV per atom. The excess energy over the best structure of this formula in the dataset is 0 meV per atom.

abc: 12.2113 11.6926 4.9792
angles: 83.89 72.19 23.92
Positions (direct):
C 0.0425 0.7089 0.2907
C 0.2084 0.5416 0.4581
C 0.4581 0.7919 0.2084
C 0.0416 0.7084 0.7919
C 0.7084 0.0416 0.4581
C 0.2907 0.9578 0.0425
C 0.7919 0.4581 0.5416
C 0.7089 0.0425 0.9578
C 0.5416 0.2084 0.7919
C 0.4581 0.7919 0.7084
C 0.9593 0.2922 0.2075
C 0.9578 0.2907 0.7089
C 0.7919 0.4581 0.0416
C 0.5411 0.2075 0.2922
C 0.2075 0.5411 0.9593
C 0.2922 0.9593 0.5411
Rb 0.5000 0.5000 0.5000
Rb 0.7500 0.7500 0.7500

No. 8
The following is a DFT calculation (GGA-PBE) of crystalline RbC at its relaxed geometry.

Computed properties:
As for the calculated volume: 26.36 Å³/atom. Its space-group type is C2/m. As for the crystal system: monoclinic. Its formation energy is 0.37 eV per atom. The excess energy over the best structure of this formula in the dataset is 78 meV per atom.

abc: 4.4282 4.3438 11.3233
angles: 90.00 104.51 90.00
Positions (direct):
C 0.5809 0.5000 0.0549
C 0.4191 0.0000 0.4451
C 0.5809 0.0000 0.5549
C 0.4191 0.5000 0.9451
Rb 0.1820 0.5000 0.6448
Rb 0.8180 0.5000 0.3552
Rb 0.8180 0.0000 0.8552
Rb 0.1820 0.0000 0.1448

No. 9
The following is a DFT calculation (GGA-PBE) of crystalline Rb4C at its relaxed geometry.

Computed properties:
As for the calculated volume: 58.05 Å³/atom. Its space-group type is Pm-3m. As for the crystal system: cubic. Its formation energy is 0.89 eV per atom. The excess energy over the best structure of this formula in the dataset is 14 meV per atom.

abc: 6.6211 6.6211 6.6211
angles: 90.00 90.00 90.00
Last column: magnetic moment on the atom in μB.
Positions (direct):
Rb 0.5000 0.5000 0.0000  0.01
Rb 0.5000 0.0000 0.5000  0.01
Rb 0.0000 0.5000 0.5000  0.01
Rb 0.0000 0.0000 0.0000  0.00
C 0.5000 0.5000 0.5000  0.95

No. 10
The following is a DFT calculation (GGA-PBE) of crystalline Rb4C at its relaxed geometry.

Computed properties:
As for the calculated volume: 75.46 Å³/atom. Its space-group type is I4/mmm. As for the crystal system: tetragonal. Its formation energy is 1.27 eV per atom. The excess energy over the best structure of this formula in the dataset is 385 meV per atom.

abc: 13.0699 13.0699 13.0699
angles: 155.71 155.71 34.61
Last column: magnetic moment on the atom in μB.
Positions (direct):
Rb 0.5777 0.5777 0.0000  0.00
Rb 0.2500 0.7500 0.5000  0.00
Rb 0.4223 0.4223 0.0000  0.00
Rb 0.7500 0.2500 0.5000  0.00
C 0.0000 0.0000 0.0000  1.10

No. 11
The following is a DFT calculation (GGA-PBE) of crystalline Rb4C at its relaxed geometry.

Computed properties:
As for the calculated volume: 54.71 Å³/atom. Its space-group type is Im-3m. As for the crystal system: cubic. Its formation energy is 0.99 eV per atom. The excess energy over the best structure of this formula in the dataset is 114 meV per atom.

abc: 7.0832 7.0832 7.0832
angles: 109.47 109.47 109.47
Last column: magnetic moment on the atom in μB.
Positions (direct):
Rb 0.0000 0.5000 0.0000  0.00
Rb 0.0000 0.0000 0.5000  0.00
Rb 0.5000 0.5000 0.5000  0.00
Rb 0.5000 0.0000 0.0000  0.00
C 0.0000 0.0000 0.0000  0.88

No. 12
The following is a DFT calculation (GGA-PBE) of crystalline RbC at its relaxed geometry.

Computed properties:
As for the calculated volume: 33.57 Å³/atom. Its space-group type is Cmcm. As for the crystal system: orthorhombic. Its formation energy is 2.36 eV per atom. The excess energy over the best structure of this formula in the dataset is 2070 meV per atom.

abc: 6.9378 6.9378 4.7738
angles: 90.00 90.00 144.24
Last column: magnetic moment on the atom in μB.
Positions (direct):
Rb 0.6286 0.3714 0.7500  0.07
Rb 0.3714 0.6286 0.2500  0.07
C 0.8703 0.1297 0.7500  1.21
C 0.1297 0.8703 0.2500  1.21